[1]
! PBE-GGA RbSnC2O6, optimized geometry; values from VASP
&SYSTEM
  ibrav = 0, nat = 20, ntyp = 4
/
ATOMIC_SPECIES
Rb 85.47 Rb.upf
Sn 118.71 Sn.upf
C 12.01 C.upf
O 16.00 O.upf
ATOMIC_POSITIONS angstrom
Rb 2.4536 3.9128 5.0072
Rb 3.8695 -3.9128 1.6691
Sn 3.8695 1.4930 1.6691
Sn 2.4536 -1.4930 5.0072
C 0.3640 1.0815 5.1580
C 1.7800 -1.0815 1.8199
C 4.5431 1.0815 4.8563
C 5.9590 -1.0815 1.5182
O 2.4329 3.2705 2.0502
O 1.0686 1.6502 6.0757
O 2.0829 0.0874 1.3217
O 0.6670 -0.0874 4.6598
O 5.3061 3.2705 1.2879
O 3.8386 1.6502 3.9387
O 2.4845 -1.6502 2.7375
O 1.0169 -3.2705 5.3884
O 5.6561 0.0874 2.0164
O 4.2401 -0.0874 5.3545
O 5.2545 -1.6502 0.6006
O 3.8902 -3.2705 4.6260
CELL_PARAMETERS angstrom
4.5775 -4.9109 0.0000
4.5775 4.9109 0.0000
-2.8319 0.0000 6.6762
! - DFT total energy (eV/atom) = -6.760
! - DOS(E_F) (states/eV per cell) = 4.40

***

[2]
! PBE-GGA Ta2InP, optimized geometry; values from VASP
&SYSTEM
  ibrav = 0, nat = 4, ntyp = 3
/
ATOMIC_SPECIES
Ta 180.95 Ta.upf
In 114.82 In.upf
P 30.97 P.upf
ATOMIC_POSITIONS angstrom
Ta 0.0000 0.0000 5.7726
Ta 0.0000 0.0000 18.7982
In 0.0000 0.0000 0.0000
P 0.0000 0.0000 12.2854
CELL_PARAMETERS angstrom
1.6056 0.9270 8.1903
-1.6056 0.9270 8.1903
0.0000 -1.8540 8.1903
! - offset from the most stable computed form (kJ/mol of atoms) = 19.44
! - DOS(E_F) (states/eV per cell) = 1.88
! - DFT formation energy (eV/f.u.) = -0.36

***

[3]
! PBE-GGA Hg2PtCl, optimized geometry; values from VASP
&SYSTEM
  ibrav = 0, nat = 4, ntyp = 3
/
ATOMIC_SPECIES
Hg 200.59 Hg.upf
Pt 195.08 Pt.upf
Cl 35.45 Cl.upf
ATOMIC_POSITIONS angstrom
Hg 0.0000 0.0000 0.0000
Hg 1.6166 0.0000 2.5740
Pt 0.0000 0.0000 4.7592
Cl 1.6166 0.0000 6.6059
CELL_PARAMETERS angstrom
1.6166 -3.0256 0.0000
1.6166 3.0256 0.0000
0.0000 0.0000 9.1840
! - offset from the most stable computed form (kJ/mol of atoms) = 21.92
! - DOS(E_F) (states/eV per cell) = 2.33

***

[4]
! PBE-GGA La8TlGe3Br4, optimized geometry; values from VASP
&SYSTEM
  ibrav = 0, nat = 16, ntyp = 4
/
ATOMIC_SPECIES
La 138.91 La.upf
Tl 204.38 Tl.upf
Ge 72.64 Ge.upf
Br 79.90 Br.upf
ATOMIC_POSITIONS angstrom
La -2.3201 -1.3395 12.3781
La 0.0000 0.0000 5.1654
La 0.0000 -2.6791 9.0790
La -2.3201 1.3395 9.0790
La 2.3201 -1.3395 12.3781
La 0.0000 2.6791 12.3781
La 0.0000 0.0000 16.2917
La 2.3201 1.3395 9.0790
Tl 0.0000 0.0000 10.7285
Ge -4.4996 0.0000 10.7285
Ge -2.2498 1.2989 3.5762
Ge 2.2498 1.2989 3.5762
Br 0.0000 0.0000 0.0000
Br -2.2498 -1.2989 7.1524
Br -2.2498 1.2989 14.3047
Br 0.0000 2.5979 7.1523
CELL_PARAMETERS angstrom
4.4996 2.5979 7.1524
-4.4996 2.5979 7.1524
0.0000 -5.1957 7.1524
! - DFT total energy (eV/atom) = -5.017
! - DOS(E_F) (states/eV per cell) = 7.74

***

[5]
! PBE-GGA KTa2TePt, optimized geometry; values from VASP
&SYSTEM
  ibrav = 0, nat = 5, ntyp = 4
/
ATOMIC_SPECIES
K 39.10 K.upf
Ta 180.95 Ta.upf
Te 127.60 Te.upf
Pt 195.08 Pt.upf
ATOMIC_POSITIONS angstrom
K 0.0000 0.0000 0.0000
Ta 0.0000 2.4182 0.0000
Ta 2.4182 0.0000 0.0000
Te 2.4182 2.4182 2.4604
Pt 0.0000 0.0000 2.4604
CELL_PARAMETERS angstrom
4.8364 0.0000 0.0000
0.0000 4.8364 0.0000
0.0000 0.0000 4.9208
! - DFT total energy (eV/atom) = -4.130
! - DOS(E_F) (states/eV per cell) = 8.03

***

[6]
! PBE-GGA Ca3Ac12Y, optimized geometry; values from VASP
&SYSTEM
  ibrav = 0, nat = 16, ntyp = 3
/
ATOMIC_SPECIES
Ca 40.08 Ca.upf
Ac 227.00 Ac.upf
Y 88.91 Y.upf
ATOMIC_POSITIONS angstrom
Ca 0.0000 0.0000 0.0000
Ca 0.0000 0.0000 5.6249
Ca 0.0000 0.0000 16.6890
Ac 0.0000 2.7861 2.8148
Ac 0.0000 2.7861 8.4600
Ac 0.0000 2.7861 13.8539
Ac 0.0000 2.7861 19.4991
Ac 2.7861 0.0000 2.8148
Ac 2.7861 0.0000 8.4600
Ac 2.7861 0.0000 13.8539
Ac 2.7861 0.0000 19.4991
Ac 2.7861 2.7861 0.0000
Ac 2.7861 2.7861 5.6224
Ac 2.7861 2.7861 11.1570
Ac 2.7861 2.7861 16.6915
Y 0.0000 0.0000 11.1570
CELL_PARAMETERS angstrom
5.5722 0.0000 0.0000
0.0000 5.5722 0.0000
0.0000 0.0000 22.3139
! - DOS(E_F) (states/eV per cell) = 21.57
! - DFT formation energy (eV/f.u.) = 0.39

***

[7]
! PBE-GGA Nd2ThCo, optimized geometry; values from VASP
&SYSTEM
  ibrav = 0, nat = 4, ntyp = 3
/
ATOMIC_SPECIES
Nd 144.24 Nd.upf
Th 232.04 Th.upf
Co 58.93 Co.upf
ATOMIC_POSITIONS angstrom
Nd 0.0000 0.0000 3.5378
Nd 0.0000 0.0000 28.2324
Th 0.0000 0.0000 0.0000
Co 0.0000 0.0000 15.8851
CELL_PARAMETERS angstrom
1.8016 1.0402 10.5901
-1.8016 1.0402 10.5901
0.0000 -2.0803 10.5901
! - offset from the most stable computed form (kJ/mol of atoms) = 39.11
! - DOS(E_F) (states/eV per cell) = 5.62
! - DFT formation energy (eV/f.u.) = 1.10

***

[8]
! PBE-GGA CeSm2Tm3Se6, optimized geometry; values from VASP
&SYSTEM
  ibrav = 0, nat = 12, ntyp = 4
/
ATOMIC_SPECIES
Ce 140.12 Ce.upf
Sm 150.36 Sm.upf
Tm 168.93 Tm.upf
Se 78.96 Se.upf
ATOMIC_POSITIONS angstrom
Ce 0.0000 0.0000 0.0000
Sm 4.5800 0.0000 5.3811
Sm 11.2636 0.0000 2.6561
Tm -1.0829 0.0000 4.0186
Tm 5.6480 0.0000 1.3303
Tm 10.1955 0.0000 6.7070
Se 1.6734 0.0000 4.7577
Se 2.9168 0.0000 0.6061
Se 8.3749 0.0000 2.0940
Se 7.4687 0.0000 5.9432
Se 12.9267 0.0000 7.4312
Se 14.1702 0.0000 3.2796
CELL_PARAMETERS angstrom
9.0047 -2.0230 0.0000
9.0047 2.0230 0.0000
-2.1658 0.0000 8.0372
! - DFT total energy (eV/atom) = -5.891
! - DOS(E_F) (states/eV per cell) = 10.16

***

[9]
! PBE-GGA ZnAsCl2, optimized geometry; values from VASP
&SYSTEM
  ibrav = 0, nat = 4, ntyp = 3
/
ATOMIC_SPECIES
Zn 65.41 Zn.upf
As 74.92 As.upf
Cl 35.45 Cl.upf
ATOMIC_POSITIONS angstrom
Zn 0.0000 0.0000 0.0000
As -0.0076 1.6182 2.9609
Cl 2.1197 0.0000 2.9609
Cl 2.1273 1.6182 0.0000
CELL_PARAMETERS angstrom
4.2546 0.0000 0.0000
0.0000 3.2365 0.0000
-0.0153 0.0000 5.9219
! - offset from the most stable computed form (kJ/mol of atoms) = 41.70
! - DOS(E_F) (states/eV per cell) = 1.56

***

[10]
! PBE-GGA Th2HgRhAu, optimized geometry; values from VASP
&SYSTEM
  ibrav = 0, nat = 10, ntyp = 4
/
ATOMIC_SPECIES
Th 232.04 Th.upf
Hg 200.59 Hg.upf
Rh 102.91 Rh.upf
Au 196.97 Au.upf
ATOMIC_POSITIONS angstrom
Th -0.1085 0.9896 2.8264
Th 2.3905 0.9896 0.1243
Th 2.4539 2.9687 7.6091
Th 4.9528 2.9687 4.9070
Hg -0.0080 2.9687 5.4246
Hg 4.8524 0.9896 2.3088
Rh 0.4627 2.9687 0.9012
Rh 4.3816 0.9896 6.8322
Au 2.5863 2.9687 2.7288
Au 2.2580 0.9896 5.0045
CELL_PARAMETERS angstrom
8.2171 0.0000 0.0000
0.0000 3.9583 0.0000
-3.3728 0.0000 7.7334
! - DOS(E_F) (states/eV per cell) = 6.47
! - DFT formation energy (eV/f.u.) = -2.95

***

[11]
! PBE-GGA CsNp2Te2Se, optimized geometry; values from VASP
&SYSTEM
  ibrav = 0, nat = 6, ntyp = 4
/
ATOMIC_SPECIES
Cs 132.91 Cs.upf
Np 237.00 Np.upf
Te 127.60 Te.upf
Se 78.96 Se.upf
ATOMIC_POSITIONS angstrom
Cs 0.0000 0.0000 0.0000
Np 0.0000 2.7199 4.1081
Np 2.7199 0.0000 4.1081
Te 2.7199 2.7199 2.2109
Te 2.7199 2.7199 6.0053
Se 0.0000 0.0000 4.1081
CELL_PARAMETERS angstrom
5.4397 0.0000 0.0000
0.0000 5.4397 0.0000
0.0000 0.0000 8.2162
! - DFT total energy (eV/atom) = -6.857
! - DOS(E_F) (states/eV per cell) = 13.94

***

[12]
! PBE-GGA LaSbPt10, optimized geometry; values from VASP
&SYSTEM
  ibrav = 0, nat = 12, ntyp = 3
/
ATOMIC_SPECIES
La 138.91 La.upf
Sb 121.76 Sb.upf
Pt 195.08 Pt.upf
ATOMIC_POSITIONS angstrom
La 0.0000 0.0000 0.0000
Sb 0.0000 2.7030 4.6464
Pt 0.0000 0.0000 3.1606
Pt 0.0000 0.0000 6.1322
Pt 0.0000 2.7030 1.6680
Pt 0.0000 2.7030 7.6248
Pt 2.2410 0.0000 4.6464
Pt 2.2410 1.3387 2.3080
Pt 2.2410 1.3387 6.9848
Pt 2.2410 2.7030 0.0000
Pt 2.2410 4.0672 2.3080
Pt 2.2410 4.0672 6.9848
CELL_PARAMETERS angstrom
4.4820 0.0000 0.0000
0.0000 5.4059 0.0000
0.0000 0.0000 9.2928
! - DFT total energy (eV/atom) = -6.157
! - DOS(E_F) (states/eV per cell) = 9.53